[1]
The following is a DFT calculation (GGA-PBE) of crystalline MgInRe2 at its relaxed geometry.

a b c (Å): 3.243 4.454 4.617
angles (deg): 90.00 90.00 90.00
Atoms (fractional coordinates):
Mg 0.000 0.000 0.000
In 0.500 0.500 0.000
Re 0.000 0.500 0.500
Re 0.500 0.000 0.500

Properties
For the energy above the most stable polymorph in this dataset, the calculation gives 322 meV per atom. As for the formation energy: 0.47 eV per atom. The total energy comes out at -6.84 eV per atom.

[2]
The following is a DFT calculation (GGA-PBE) of crystalline Rb12H3O5 at its relaxed geometry.

a b c (Å): 15.003 15.003 15.003
angles (deg): 109.47 109.47 109.47
Atoms (fractional coordinates):
Rb 0.027 0.205 0.124
Rb 0.027 0.322 0.904
Rb 0.081 0.705 0.678
Rb 0.081 0.876 0.404
Rb 0.096 0.624 0.419
Rb 0.096 0.973 0.678
Rb 0.124 0.027 0.205
Rb 0.124 0.596 0.919
Rb 0.178 0.205 0.581
Rb 0.178 0.473 0.596
Rb 0.205 0.124 0.027
Rb 0.205 0.581 0.178
Rb 0.295 0.322 0.919
Rb 0.295 0.473 0.376
Rb 0.322 0.904 0.027
Rb 0.322 0.919 0.295
Rb 0.376 0.295 0.473
Rb 0.376 0.581 0.904
Rb 0.404 0.081 0.876
Rb 0.404 0.822 0.527
Rb 0.419 0.096 0.624
Rb 0.419 0.822 0.795
Rb 0.473 0.376 0.295
Rb 0.473 0.596 0.178
Rb 0.527 0.404 0.822
Rb 0.527 0.624 0.705
Rb 0.581 0.178 0.205
Rb 0.581 0.904 0.376
Rb 0.596 0.178 0.473
Rb 0.596 0.919 0.124
Rb 0.624 0.419 0.096
Rb 0.624 0.705 0.527
Rb 0.678 0.081 0.705
Rb 0.678 0.096 0.973
Rb 0.705 0.527 0.624
Rb 0.705 0.678 0.081
Rb 0.795 0.419 0.822
Rb 0.795 0.876 0.973
Rb 0.822 0.527 0.404
Rb 0.822 0.795 0.419
Rb 0.876 0.404 0.081
Rb 0.876 0.973 0.795
Rb 0.904 0.027 0.322
Rb 0.904 0.376 0.581
Rb 0.919 0.124 0.596
Rb 0.919 0.295 0.322
Rb 0.973 0.678 0.096
Rb 0.973 0.795 0.876
H 0.125 0.250 0.375
H 0.125 0.375 0.750
H 0.250 0.375 0.125
H 0.250 0.875 0.625
H 0.375 0.125 0.250
H 0.375 0.750 0.125
H 0.625 0.250 0.875
H 0.625 0.875 0.750
H 0.750 0.125 0.375
H 0.750 0.625 0.875
H 0.875 0.625 0.250
H 0.875 0.750 0.625
O 0.000 0.000 0.000
O 0.000 0.000 0.500
O 0.000 0.500 0.000
O 0.000 0.500 0.500
O 0.125 0.750 0.875
O 0.125 0.875 0.250
O 0.250 0.125 0.875
O 0.250 0.625 0.375
O 0.375 0.250 0.625
O 0.375 0.625 0.750
O 0.500 0.000 0.000
O 0.500 0.000 0.500
O 0.500 0.500 0.000
O 0.500 0.500 0.500
O 0.625 0.375 0.250
O 0.625 0.750 0.375
O 0.750 0.375 0.625
O 0.750 0.875 0.125
O 0.875 0.125 0.750
O 0.875 0.250 0.125

Properties
The total energy comes out at -2.98 eV per atom.

[3]
The following is a DFT calculation (GGA-PBE) of crystalline CdInI3 at its relaxed geometry.

a b c (Å): 5.927 5.927 5.927
angles (deg): 90.00 90.00 90.00
Atoms (fractional coordinates):
Cd 0.000 0.000 0.000
In 0.500 0.500 0.500
I 0.000 0.000 0.500
I 0.000 0.500 0.000
I 0.500 0.000 0.000

Properties
The calculation puts the formation energy (no corrections) at -0.39 eV per atom. The total energy comes out at -2.05 eV per atom.

[4]
The following is a DFT calculation (GGA-PBE) of crystalline BeFeHg3 at its relaxed geometry.

a b c (Å): 5.110 5.110 5.110
angles (deg): 90.00 90.00 90.00
Atoms (fractional coordinates):
Be 0.000 0.000 0.000
Fe 0.500 0.500 0.500
Hg 0.000 0.500 0.500
Hg 0.500 0.000 0.500
Hg 0.500 0.500 0.000

Properties
For the energy above the most stable polymorph in this dataset, the calculation gives 236 meV per atom. As for the formation energy: 0.97 eV per atom. The total energy comes out at -1.65 eV per atom.

[5]
The following is a DFT calculation (GGA-PBE) of crystalline ZrNp4N5 at its relaxed geometry.

a b c (Å): 5.898 5.898 5.898
angles (deg): 99.60 99.60 131.80
Atoms (fractional coordinates):
Zr 0.000 0.000 0.000
Np 0.201 0.600 0.801
Np 0.400 0.201 0.600
Np 0.600 0.799 0.400
Np 0.799 0.400 0.199
N 0.099 0.294 0.392
N 0.294 0.901 0.195
N 0.500 0.500 0.000
N 0.706 0.099 0.805
N 0.901 0.706 0.608

Properties
The calculation puts the formation energy (no corrections) at -1.25 eV per atom. The total energy comes out at -11.44 eV per atom.

[6]
The following is a DFT calculation (GGA-PBE) of crystalline Er4Cu at its relaxed geometry.

a b c (Å): 7.193 7.175 8.810
angles (deg): 52.27 52.09 75.64
Atoms (fractional coordinates):
Er 0.043 0.457 0.200
Er 0.050 0.950 0.207
Er 0.084 0.498 0.759
Er 0.457 0.043 0.300
Er 0.491 0.592 0.166
Er 0.498 0.084 0.658
Er 0.592 0.491 0.752
Er 0.950 0.050 0.793
Cu 0.646 0.646 0.354
Cu 0.896 0.896 0.604

Properties
For the energy above the most stable polymorph in this dataset, the calculation gives 0 meV per atom. As for the formation energy: 0.02 eV per atom. The total energy comes out at -4.45 eV per atom.

[7]
The following is a DFT calculation (GGA-PBE) of crystalline RhW3Br at its relaxed geometry.

a b c (Å): 4.782 4.782 4.782
angles (deg): 90.00 90.00 90.00
Atoms (fractional coordinates):
Rh 0.000 0.000 0.000
W 0.000 0.000 0.500
W 0.000 0.500 0.000
W 0.500 0.000 0.000
Br 0.500 0.500 0.500

Properties
The calculation puts the formation energy (no corrections) at 2.26 eV per atom. For the energy above the most stable polymorph in this dataset, the calculation gives 41 meV per atom. The total energy comes out at -7.32 eV per atom.

[8]
The following is a DFT calculation (GGA-PBE) of crystalline LiYSe2 at its relaxed geometry.

a b c (Å): 6.985 6.985 6.985
angles (deg): 90.00 90.00 90.00
Atoms (fractional coordinates):
Li 0.000 0.000 0.000
Li 0.000 0.500 0.500
Li 0.500 0.000 0.500
Li 0.500 0.500 0.000
Y 0.250 0.250 0.250
Y 0.250 0.750 0.750
Y 0.750 0.250 0.750
Y 0.750 0.750 0.250
Se 0.000 0.000 0.500
Se 0.000 0.500 0.000
Se 0.250 0.250 0.750
Se 0.250 0.750 0.250
Se 0.500 0.000 0.000
Se 0.500 0.500 0.500
Se 0.750 0.250 0.250
Se 0.750 0.750 0.750

Properties
The calculation puts the formation energy (no corrections) at -0.70 eV per atom. The total energy comes out at -4.54 eV per atom.

no.,DOS at the Fermi energy (states/eV/f.u.)
1,2.41
2,13.54
3,0.91
4,4.08
5,15.91
6,7.75
7,5.37
8,0.00